## TiCrIO2 (GGA+U)

Data for TiCrIO2 after structural relaxation.

```
data_TiCrIO2
_cell_length_a 3.900
_cell_length_b 3.900
_cell_length_c 5.631
_cell_angle_alpha 90.00
_cell_angle_beta 90.00
_cell_angle_gamma 90.00
_space_group_name_H-M_alt 'P 4/m m m'
_space_group_IT_number 123
_space_group_name_Hall '-P 4 2'
loop_
_atom_site_label
_atom_site_type_symbol
_atom_site_fract_x
_atom_site_fract_y
_atom_site_fract_z
_atom_site_occupancy
Ti1 Ti 0.000 0.000 0.000 1
Cr1 Cr 0.500 0.500 0.500 1
I1 I 0.500 0.500 0.000 1
O1 O 0.000 0.500 0.500 1
```

energy above the most stable polymorph in this dataset = 0.887 eV/atom